Here is a geometry-optimized ZnPtC4N4 structure from OQMD. Energies are from PBE-GGA.

abc: 5.2962 5.2962 13.6537
angles: 90.00 90.00 90.00
Positions (direct):
Zn 0.0000 0.0000 0.2500
Zn 0.0000 0.0000 0.7500
Pt 0.5000 0.5000 0.0000
Pt 0.5000 0.5000 0.5000
C 0.3144 0.3144 0.1023
C 0.3144 0.3144 0.8977
C 0.3144 0.6856 0.3977
C 0.3144 0.6856 0.6023
C 0.6856 0.3144 0.3977
C 0.6856 0.3144 0.6023
C 0.6856 0.6856 0.1023
C 0.6856 0.6856 0.8977
N 0.2056 0.2056 0.1634
N 0.2056 0.2056 0.8366
N 0.2056 0.7944 0.3366
N 0.2056 0.7944 0.6634
N 0.7944 0.2056 0.3366
N 0.7944 0.2056 0.6634
N 0.7944 0.7944 0.1634
N 0.7944 0.7944 0.8366

## Properties
The total magnetization comes out at 0.0 μB/f.u. As for the energy: -0.56062 Ry per atom. The calculation puts the volume at 191.49 Å³/f.u.

Here is a geometry-optimized Ta3CSN structure from OQMD. Energies are from PBE-GGA.

abc: 3.1621 3.1621 17.3129
angles: 90.00 90.00 120.00
Positions (direct):
Ta 0.0000 0.0000 0.0000
Ta 0.0000 0.0000 0.5000
Ta 0.3333 0.6667 0.1450
Ta 0.3333 0.6667 0.3541
Ta 0.6667 0.3333 0.6459
Ta 0.6667 0.3333 0.8550
C 0.3333 0.6667 0.5750
C 0.6667 0.3333 0.4250
S 0.0000 0.0000 0.2465
S 0.0000 0.0000 0.7535
N 0.3333 0.6667 0.9290
N 0.6667 0.3333 0.0710

## Properties
The total magnetization comes out at 0.0 μB/f.u. As for the energy: -0.75124 Ry per atom. The calculation puts the volume at 74.96 Å³/f.u.

Here is a geometry-optimized Ta4CS2N structure from OQMD. Energies are from PBE-GGA.

abc: 3.1919 3.1919 12.0700
angles: 90.00 90.00 120.00
Positions (direct):
Ta 0.3333 0.6667 0.0973
Ta 0.3333 0.6667 0.3949
Ta 0.6667 0.3333 0.6051
Ta 0.6667 0.3333 0.9027
C 0.0000 0.0000 0.0000
S 0.3333 0.6667 0.7492
S 0.6667 0.3333 0.2508
N 0.0000 0.0000 0.5000

## Properties
The total magnetization comes out at 0.0 μB/f.u. As for the energy: -0.72206 Ry per atom. The calculation puts the volume at 106.49 Å³/f.u.

Here is a geometry-optimized W3CSN structure from OQMD. Energies are from PBE-GGA.

abc: 3.0259 3.0259 18.2131
angles: 90.00 90.00 120.00
Positions (direct):
W 0.0000 0.0000 0.0000
W 0.0000 0.0000 0.5000
W 0.3333 0.6667 0.1536
W 0.3333 0.6667 0.3646
W 0.6667 0.3333 0.6354
W 0.6667 0.3333 0.8464
C 0.3333 0.6667 0.5726
C 0.6667 0.3333 0.4274
S 0.0000 0.0000 0.2464
S 0.0000 0.0000 0.7536
N 0.3333 0.6667 0.9267
N 0.6667 0.3333 0.0733

## Properties
The total magnetization comes out at 0.0 μB/f.u. As for the energy: -0.72345 Ry per atom. The calculation puts the volume at 72.21 Å³/f.u.

Here is a geometry-optimized W4CS2N structure from OQMD. Energies are from PBE-GGA.

abc: 3.0278 3.0278 12.7253
angles: 90.00 90.00 120.00
Positions (direct):
W 0.3333 0.6667 0.0954
W 0.3333 0.6667 0.3903
W 0.6667 0.3333 0.6097
W 0.6667 0.3333 0.9046
C 0.0000 0.0000 0.0000
S 0.3333 0.6667 0.7473
S 0.6667 0.3333 0.2527
N 0.0000 0.0000 0.5000

## Properties
The total magnetization comes out at 0.0 μB/f.u. As for the energy: -0.69662 Ry per atom. The calculation puts the volume at 101.03 Å³/f.u.

Here is a geometry-optimized ZnC2S2N2 structure from OQMD. Energies are from PBE-GGA.

abc: 7.7156 7.7973 10.5366
angles: 74.04 70.65 87.20
Positions (direct):
Zn 0.1829 0.4021 0.3255
Zn 0.2821 0.0658 0.8084
Zn 0.7179 0.9342 0.1916
Zn 0.8171 0.5979 0.6745
C 0.0683 0.1112 0.6093
C 0.1043 0.4181 0.8095
C 0.3721 0.7077 0.3796
C 0.4970 0.7442 0.8833
C 0.5030 0.2558 0.1167
C 0.6279 0.2923 0.6204
C 0.8957 0.5819 0.1905
C 0.9317 0.8888 0.3907
S 0.0270 0.9694 0.7640
S 0.2274 0.3123 0.9039
S 0.3296 0.8280 0.9876
S 0.4715 0.8704 0.4041
S 0.5285 0.1296 0.5959
S 0.6704 0.1720 0.0124
S 0.7726 0.6877 0.0961
S 0.9730 0.0306 0.2360
N 0.0153 0.4994 0.7439
N 0.0942 0.2099 0.4975
N 0.2961 0.5905 0.3659
N 0.3802 0.3185 0.1878
N 0.6198 0.6815 0.8122
N 0.7039 0.4095 0.6341
N 0.9058 0.7901 0.5025
N 0.9847 0.5006 0.2561

## Properties
As for the energy: -0.46598 Ry per atom. The calculation puts the volume at 143.61 Å³/f.u.